Crystalline LiY2MnTc at its relaxed geometry. Source: Alexandria via LeMat-Bulk, functional PBE-GGA.

Unit cell a=5.297 b=4.333 c=5.297 alpha=90.00 beta=90.00 gamma=90.00
Atoms (fractional coordinates):
Li 0.500 0.500 0.500
Y 0.500 0.000 0.000
Y 0.000 0.000 0.500
Mn 0.000 0.000 0.000
Tc 0.000 0.500 0.000

Results
Crystal system: tetragonal
Spin magnetization in μB/f.u.: 0.0
Final energy in eV per atom: -6.4781

***

Crystalline LiMnZnTc at its relaxed geometry. Source: Alexandria via LeMat-Bulk, functional PBE-GGA.

Unit cell a=4.140 b=4.140 c=4.140 alpha=60.00 beta=60.00 gamma=60.00
Last column: magnetic moment on the atom in μB.
Atoms (fractional coordinates):
Li 0.750 0.750 0.750  -0.03
Mn 0.250 0.250 0.250  1.45
Zn 0.000 0.000 0.000  0.00
Tc 0.500 0.500 0.500  -0.55

Results
Crystal system: cubic
Spin magnetization in μB/f.u.: 0.9
Final energy in eV per atom: -5.6032

***

Crystalline LiMn2Te4 at its relaxed geometry. Source: Alexandria via LeMat-Bulk, functional PBE-GGA.

Unit cell a=8.110 b=8.110 c=8.102 alpha=120.10 beta=120.07 gamma=89.99
Last column: magnetic moment on the atom in μB.
Atoms (fractional coordinates):
Mn 0.625 0.875 0.250  3.56
Mn 0.125 0.375 0.750  3.56
Mn 0.625 0.375 0.250  3.55
Mn 0.625 0.375 0.750  3.55
Te 0.844 0.615 0.230  -0.12
Te 0.406 0.135 0.270  -0.12
Te 0.385 0.156 0.770  -0.12
Te 0.865 0.594 0.730  -0.12
Te 0.865 0.136 0.730  -0.11
Te 0.385 0.614 0.770  -0.11
Te 0.864 0.135 0.270  -0.11
Te 0.386 0.615 0.230  -0.11
Li 0.000 0.000 0.000  0.01
Li 0.250 0.750 0.500  0.01

Results
Crystal system: monoclinic
Spin magnetization in μB/f.u.: 7.0
Final energy in eV per atom: -5.0250

***

Crystalline Li2MnTe2 at its relaxed geometry. Source: Alexandria via LeMat-Bulk, functional PBE-GGA.

Unit cell a=7.556 b=7.556 c=4.124 alpha=90.00 beta=90.00 gamma=90.00
Last column: magnetic moment on the atom in μB.
Atoms (fractional coordinates):
Te 0.177 0.323 0.000  0.02
Te 0.823 0.677 0.000  0.02
Te 0.323 0.823 0.000  0.03
Te 0.677 0.177 0.000  0.03
Mn 0.000 0.000 0.000  3.96
Mn 0.500 0.500 0.000  3.96
Li 0.865 0.365 0.500  0.00
Li 0.365 0.135 0.500  0.00
Li 0.635 0.865 0.500  0.00
Li 0.135 0.635 0.500  0.00

Results
Crystal system: tetragonal
Spin magnetization in μB/f.u.: 4.4
Final energy in eV per atom: -4.2805

***

Crystalline LiMn5Te8 at its relaxed geometry. Source: Alexandria via LeMat-Bulk, functional PBE-GGA.

Unit cell a=8.160 b=8.160 c=8.160 alpha=60.00 beta=60.00 gamma=60.00
Last column: magnetic moment on the atom in μB.
Atoms (fractional coordinates):
Mn 0.000 0.000 0.000  4.08
Mn 0.136 0.621 0.621  3.76
Mn 0.621 0.136 0.621  3.76
Mn 0.621 0.621 0.621  3.76
Mn 0.621 0.621 0.136  3.76
Li 0.250 0.250 0.250  0.02
Te 0.865 0.865 0.404  -0.09
Te 0.384 0.849 0.384  -0.08
Te 0.865 0.404 0.865  -0.09
Te 0.865 0.865 0.865  -0.09
Te 0.849 0.384 0.384  -0.08
Te 0.384 0.384 0.384  -0.08
Te 0.384 0.384 0.849  -0.08
Te 0.404 0.865 0.865  -0.09

Results
Crystal system: cubic
Spin magnetization in μB/f.u.: 20.0
Final energy in eV per atom: -5.4385

***

Crystalline LiMnTlTe3 at its relaxed geometry. Source: Alexandria via LeMat-Bulk, functional PBE-GGA.

Unit cell a=4.056 b=8.302 c=10.464 alpha=110.22 beta=90.00 gamma=90.00
Last column: magnetic moment on the atom in μB.
Atoms (fractional coordinates):
Mn 0.250 0.692 0.155  3.33
Mn 0.750 0.308 0.845  3.33
Li 0.250 0.070 0.608  0.00
Li 0.750 0.930 0.392  0.00
Te 0.250 0.100 0.874  -0.09
Te 0.750 0.272 0.574  -0.04
Te 0.250 0.542 0.878  -0.22
Te 0.750 0.900 0.126  -0.09
Te 0.750 0.458 0.122  -0.22
Te 0.250 0.728 0.426  -0.04
Tl 0.750 0.734 0.693  0.00
Tl 0.250 0.266 0.307  0.00

Results
Crystal system: monoclinic
Spin magnetization in μB/f.u.: 3.1
Final energy in eV per atom: -4.1950

***

Crystalline Li2TmMnTe4 at its relaxed geometry. Source: Alexandria via LeMat-Bulk, functional PBE-GGA.

Unit cell a=4.176 b=7.185 c=7.357 alpha=108.72 beta=90.00 gamma=90.00
Last column: magnetic moment on the atom in μB.
Atoms (fractional coordinates):
Tm 0.500 0.500 0.000  0.03
Li 0.500 0.000 0.500  0.01
Li 0.000 0.500 0.500  0.01
Mn 0.000 0.000 0.000  3.91
Te 0.000 0.234 0.752  -0.03
Te 0.500 0.770 0.760  -0.04
Te 0.000 0.766 0.248  -0.03
Te 0.500 0.230 0.240  -0.04

Results
Crystal system: monoclinic
Spin magnetization in μB/f.u.: 4.1
Final energy in eV per atom: -4.5854

***

Crystalline Li3UMn2Te6 at its relaxed geometry. Source: Alexandria via LeMat-Bulk, functional PBE-GGA.

Unit cell a=7.175 b=7.175 c=7.376 alpha=99.37 beta=99.37 gamma=119.77
Last column: magnetic moment on the atom in μB.
Atoms (fractional coordinates):
Te 0.424 0.080 0.246  0.05
Te 0.576 0.920 0.754  0.05
Te 0.735 0.735 0.241  0.05
Te 0.080 0.424 0.246  0.05
Te 0.265 0.265 0.759  0.05
Te 0.920 0.576 0.754  0.05
Mn 0.669 0.331 0.000  4.15
Mn 0.331 0.669 0.000  4.15
U 0.000 0.000 0.000  -0.97
Li 0.841 0.159 0.500  0.01
Li 0.159 0.841 0.500  0.01
Li 0.500 0.500 0.500  0.01

Results
Crystal system: monoclinic
Spin magnetization in μB/f.u.: 8.7
Final energy in eV per atom: -5.0876

***

Crystalline Li2YMnTe4 at its relaxed geometry. Source: Alexandria via LeMat-Bulk, functional PBE-GGA.

Unit cell a=4.199 b=7.247 c=7.351 alpha=108.75 beta=90.00 gamma=90.00
Last column: magnetic moment on the atom in μB.
Atoms (fractional coordinates):
Te 0.500 0.227 0.241  -0.05
Te 0.000 0.770 0.250  -0.03
Te 0.000 0.230 0.750  -0.03
Te 0.500 0.773 0.759  -0.05
Y 0.500 0.500 0.000  0.02
Mn 0.000 0.000 0.000  3.91
Li 0.500 0.000 0.500  0.01
Li 0.000 0.500 0.500  0.01

Results
Crystal system: monoclinic
Spin magnetization in μB/f.u.: 4.1
Final energy in eV per atom: -4.8451

***

Crystalline LiZrMn2Te at its relaxed geometry. Source: Alexandria via LeMat-Bulk, functional PBE-GGA.

Unit cell a=4.376 b=4.376 c=4.631 alpha=90.00 beta=90.00 gamma=90.00
Last column: magnetic moment on the atom in μB.
Atoms (fractional coordinates):
Mn 0.500 0.000 0.000  3.28
Mn 0.000 0.500 0.000  3.28
Zr 0.500 0.500 0.500  -0.64
Li 0.000 0.000 0.000  -0.01
Te 0.000 0.000 0.500  0.03

Results
Crystal system: tetragonal
Spin magnetization in μB/f.u.: 5.9
Final energy in eV per atom: -5.8476

***

Crystalline Li2ZrMnTe4 at its relaxed geometry. Source: Alexandria via LeMat-Bulk, functional PBE-GGA.

Unit cell a=4.069 b=7.226 c=7.340 alpha=108.91 beta=90.00 gamma=90.00
Last column: magnetic moment on the atom in μB.
Atoms (fractional coordinates):
Te 0.000 0.748 0.248  0.01
Te 0.500 0.763 0.766  0.01
Te 0.500 0.237 0.234  0.01
Te 0.000 0.252 0.752  0.01
Li 0.000 0.500 0.500  0.01
Li 0.500 0.000 0.500  0.00
Mn 0.000 0.000 0.000  4.12
Zr 0.500 0.500 0.000  0.17

Results
Crystal system: monoclinic
Spin magnetization in μB/f.u.: 4.9
Final energy in eV per atom: -4.9666

***

Crystalline LiThMn at its relaxed geometry. Source: Alexandria via LeMat-Bulk, functional PBE-GGA.

Unit cell a=3.758 b=3.996 c=9.192 alpha=77.45 beta=90.00 gamma=90.00
Atoms (fractional coordinates):
Mn 0.750 0.530 0.939
Mn 0.250 0.470 0.061
Th 0.750 0.907 0.187
Th 0.250 0.093 0.813
Li 0.250 0.291 0.418
Li 0.750 0.709 0.582

Results
Crystal system: orthorhombic
Spin magnetization in μB/f.u.: 0.0
Final energy in eV per atom: -6.0418

***

> Among the records above, which one has the highest final energy?

LiMnTlTe3

***

> What is the final energy in the eleventh record?

-4.9666 eV per atom

***

> Look up the spin magnetization of the tenth one.

5.9 μB/f.u.

***

> Number 8 is which compound?

Li3UMn2Te6